(A)
Compound: EuUBi2
Source: Alexandria
Functional: PBE
Structure: relaxed

```
data_EuUBi2
_chemical_formula_sum 'Eu1 U1 Bi2'
_space_group_name_H-M_alt 'P 4/m m m'
_space_group_IT_number 123
_space_group_name_Hall '-P 4 2'
_cell_length_a 3.823
_cell_length_b 3.823
_cell_length_c 8.331
_cell_angle_alpha 90.00
_cell_angle_beta 90.00
_cell_angle_gamma 90.00
loop_
_atom_site_label
_atom_site_type_symbol
_atom_site_fract_x
_atom_site_fract_y
_atom_site_fract_z
Eu1 Eu 0.000 0.000 0.000
U1 U 0.000 0.000 0.500
Bi1 Bi 0.500 0.500 0.262
```

Fermi-level density of states = 1.1812 states/eV/atom

***

(B)
Compound: EuUBi2
Source: Alexandria
Functional: PBE
Structure: relaxed

```
data_EuUBi2
_chemical_formula_sum 'Eu3 U3 Bi6'
_space_group_name_H-M_alt 'R -3 m'
_space_group_IT_number 166
_space_group_name_Hall '-R 3 2"'
_cell_length_a 4.5279
_cell_length_b 4.5279
_cell_length_c 23.0903
_cell_angle_alpha 90.00
_cell_angle_beta 90.00
_cell_angle_gamma 120.00
loop_
_atom_site_label
_atom_site_type_symbol
_atom_site_fract_x
_atom_site_fract_y
_atom_site_fract_z
Eu1 Eu 0.0000 0.0000 0.0000
U1 U 0.0000 0.0000 0.5000
Bi1 Bi 0.0000 0.0000 0.2448
```

Fermi-level density of states = 4.8724 states/eV/atom

***

The structure with the least stability is (A).

***

(A)
Compound: EuZn2Bi
Source: Alexandria
Functional: PBE
Structure: relaxed

```
data_EuZn2Bi
_chemical_formula_sum 'Eu4 Zn8 Bi4'
_space_group_name_H-M_alt 'F m -3 m'
_space_group_IT_number 225
_space_group_name_Hall '-F 4 2 3'
_cell_length_a 7.345
_cell_length_b 7.345
_cell_length_c 7.345
_cell_angle_alpha 90.00
_cell_angle_beta 90.00
_cell_angle_gamma 90.00
loop_
_atom_site_label
_atom_site_type_symbol
_atom_site_fract_x
_atom_site_fract_y
_atom_site_fract_z
Eu1 Eu 0.000 0.000 0.000
Zn1 Zn 0.250 0.250 0.250
Bi1 Bi 0.000 0.000 0.500
```

Fermi-level density of states = 0.5980 states/eV/atom

***

(B)
Compound: EuZn2Bi
Source: Alexandria
Functional: PBE
Structure: relaxed

```
data_EuZn2Bi
_chemical_formula_sum 'Eu1 Zn2 Bi1'
_space_group_name_H-M_alt 'P 4/m m m'
_space_group_IT_number 123
_space_group_name_Hall '-P 4 2'
_cell_length_a 4.545
_cell_length_b 4.545
_cell_length_c 4.710
_cell_angle_alpha 90.00
_cell_angle_beta 90.00
_cell_angle_gamma 90.00
loop_
_atom_site_label
_atom_site_type_symbol
_atom_site_fract_x
_atom_site_fract_y
_atom_site_fract_z
Eu1 Eu 0.000 0.000 0.000
Zn1 Zn 0.000 0.500 0.500
Bi1 Bi 0.500 0.500 0.000
```

Fermi-level density of states = 0.4721 states/eV/atom

***

The structure with the least stability is (A).

***

(A)
Compound: BiF5
Source: Alexandria
Functional: PBE
Structure: relaxed

```
data_BiF5
_chemical_formula_sum 'Bi2 F10'
_space_group_name_H-M_alt 'P -1'
_space_group_IT_number 2
_space_group_name_Hall '-P 1'
_cell_length_a 4.208
_cell_length_b 6.246
_cell_length_c 7.192
_cell_angle_alpha 92.85
_cell_angle_beta 90.39
_cell_angle_gamma 109.59
loop_
_atom_site_label
_atom_site_type_symbol
_atom_site_fract_x
_atom_site_fract_y
_atom_site_fract_z
Bi1 Bi 0.000 0.000 0.000
Bi2 Bi 0.500 0.000 0.500
F1 F 0.026 0.052 0.666
F2 F 0.055 0.613 0.751
F3 F 0.230 0.389 0.079
F4 F 0.343 0.623 0.579
F5 F 0.463 0.930 0.159
```

***

(B)
Compound: BiF5
Source: Alexandria
Functional: PBE
Structure: relaxed

```
data_BiF5
_chemical_formula_sum 'Bi4 F20'
_space_group_name_H-M_alt 'C m c m'
_space_group_IT_number 63
_space_group_name_Hall '-C 2c 2'
_cell_length_a 3.817
_cell_length_b 11.545
_cell_length_c 8.850
_cell_angle_alpha 90.00
_cell_angle_beta 90.00
_cell_angle_gamma 90.00
loop_
_atom_site_label
_atom_site_type_symbol
_atom_site_fract_x
_atom_site_fract_y
_atom_site_fract_z
Bi1 Bi 0.000 0.000 0.000
F1 F 0.000 0.031 0.250
F2 F 0.000 0.162 0.586
F3 F 0.000 0.420 0.584
```

Fermi-level density of states = 0.0457 states/eV/atom

***

The structure with the least stability is (A).